AcNd2Mg2Pb2 | GGA-PBE | optimized geometry

Geometry as POSCAR:
```
AcNd2Mg2Pb2
1.0
-0.429 -2.460 -4.529
1.491 -4.935 -0.414
-8.274 -5.268 0.692
Ac Nd Mg Pb
1 2 2 2
direct
0.000 0.000 0.000
0.134 0.134 0.599
0.866 0.866 0.401
0.579 0.579 0.264
0.421 0.421 0.736
0.737 0.737 0.788
0.263 0.263 0.212
```

Computed properties:
Calculated volume: 217.0 Å³/cell
E_form: -0.242 eV/atom

CePr12In3 | GGA-PBE | optimized geometry

Geometry as POSCAR:
```
CePr12In3
1.0
5.030 0.000 0.000
0.000 5.030 0.000
0.000 0.000 20.513
Ce Pr In
1 12 3
direct
0.000 0.000 0.000
0.500 0.500 0.000
0.500 0.500 0.254
0.500 0.500 0.500
0.500 0.500 0.746
0.500 0.000 0.129
0.500 0.000 0.377
0.500 0.000 0.623
0.500 0.000 0.871
0.000 0.500 0.129
0.000 0.500 0.377
0.000 0.500 0.623
0.000 0.500 0.871
0.000 0.000 0.254
0.000 0.000 0.500
0.000 0.000 0.746
```

Computed properties:
Calculated volume: 519.0 Å³/cell
E_form: -0.182 eV/atom

BaCa2TlS | GGA-PBE | optimized geometry

Geometry as POSCAR:
```
BaCa2TlS
1.0
5.432 0.000 0.000
0.000 5.432 0.000
0.000 0.000 6.113
S Tl Ca Ba
1 1 2 1
direct
0.000 0.000 0.000
0.500 0.500 0.500
0.000 0.500 0.000
0.500 0.000 0.000
0.000 0.000 0.500
```

Computed properties:
Calculated volume: 180.4 Å³/cell
Uncorrected formation energy: -0.883 eV per atom

Pu2GeI | GGA-PBE | optimized geometry

Geometry as POSCAR:
```
Pu2GeI
1.0
4.385 0.000 0.000
2.193 3.798 0.000
2.193 1.266 7.057
I Ge Pu
1 1 2
direct
0.500 0.500 0.500
0.000 0.000 0.000
0.264 0.264 0.209
0.736 0.736 0.791
```

Computed properties:
Calculated volume: 117.5 Å³/cell
Uncorrected formation energy: -0.513 eV per atom
Offset from the most stable computed form: 0 meV/atom

YRu2Pt | GGA-PBE | optimized geometry

Geometry as POSCAR:
```
YRu2Pt
1.0
9.530 -0.013 -0.007
9.093 2.851 -0.007
9.093 1.386 2.492
Pt Ru Y
1 2 1
direct
0.745 0.745 0.745
0.996 0.996 0.996
0.259 0.259 0.259
0.500 0.500 0.500
```

Computed properties:
Calculated volume: 68.2 Å³/cell
E_form: 0.225 eV/atom
Offset from the most stable computed form: 439 meV/atom

CsCaRe3 | GGA-PBE | optimized geometry

Geometry as POSCAR:
```
CsCaRe3
1.0
-1.616 -0.165 -4.734
4.531 -1.513 -1.494
-1.382 -4.768 0.638
Cs Re Ca
1 3 1
direct
0.000 0.000 0.000
0.000 0.500 0.000
0.000 0.000 0.500
0.500 0.000 0.000
0.500 0.500 0.500
```

Computed properties:
Calculated volume: 125.4 Å³/cell
E_form: 3.430 eV/atom
Offset from the most stable computed form: 2 meV/atom

SiPt2Au | GGA-PBE | optimized geometry

Geometry as POSCAR:
```
SiPt2Au
1.0
4.774 -0.025 0.000
1.350 4.579 0.000
-3.062 -2.277 2.868
Au Pt Si
1 2 1
direct
0.750 0.250 0.500
0.000 0.000 0.000
0.500 0.500 0.000
0.250 0.750 0.500
```

Computed properties:
Calculated volume: 62.8 Å³/cell
Uncorrected formation energy: -0.090 eV per atom

Ce3Sm3HoTe8 | GGA-PBE | optimized geometry

Geometry as POSCAR:
```
Ce3Sm3HoTe8
1.0
-4.576 -3.893 -6.531
8.193 -2.794 1.954
-6.710 -1.621 5.669
Ce Sm Ho Te
3 3 1 8
direct
0.000 0.000 0.000
0.000 0.500 0.000
0.500 0.500 0.000
0.500 0.000 0.500
0.500 0.500 0.500
0.000 0.500 0.500
0.000 0.000 0.500
0.251 0.502 0.254
0.749 0.498 0.746
0.751 0.501 0.253
0.249 0.499 0.747
0.751 0.003 0.253
0.249 0.997 0.747
0.252 0.003 0.253
0.748 0.997 0.747
```

Computed properties:
Calculated volume: 499.0 Å³/cell
Uncorrected formation energy: -1.409 eV per atom

Ac2BeN3 | GGA-PBE | optimized geometry

Geometry as POSCAR:
```
Ac2BeN3
1.0
-2.409 1.714 -5.542
5.402 -3.116 -0.750
-4.535 -4.498 2.859
Ac Be N
4 2 6
direct
0.250 0.750 0.500
0.736 0.736 0.000
0.750 0.250 0.500
0.264 0.264 0.000
0.724 0.724 0.448
0.276 0.276 0.552
0.511 0.773 0.284
0.227 0.489 0.716
0.489 0.227 0.716
0.773 0.511 0.284
0.142 0.142 0.285
0.858 0.858 0.715
```

Computed properties:
Calculated volume: 221.9 Å³/cell
Uncorrected formation energy: -0.758 eV per atom

Tm2Al3Ag | GGA-PBE | optimized geometry

Geometry as POSCAR:
```
Tm2Al3Ag
1.0
-1.478 5.289 -1.615
-3.386 -0.685 -4.564
-3.896 -2.622 7.832
Tm Al Ag
4 6 2
direct
0.750 0.250 0.500
0.749 0.251 0.000
0.250 0.750 0.500
0.251 0.749 0.000
0.832 0.832 0.166
0.666 0.666 0.834
0.168 0.168 0.834
0.334 0.334 0.166
0.166 0.166 0.331
0.834 0.834 0.669
0.668 0.668 0.336
0.332 0.332 0.664
```

Computed properties:
Calculated volume: 249.9 Å³/cell
E_form: -0.437 eV/atom
Offset from the most stable computed form: 17 meV/atom

LiScHgPt | GGA-PBE | optimized geometry

Geometry as POSCAR:
```
LiScHgPt
1.0
4.651 0.000 0.000
2.326 4.028 0.000
2.326 1.343 3.798
Sc Hg Pt Li
1 1 1 1
direct
0.000 0.000 0.000
0.750 0.750 0.750
0.250 0.250 0.250
0.500 0.500 0.500
```

Computed properties:
Calculated volume: 71.2 Å³/cell
E_form: -0.648 eV/atom

U2Ge2Ir3 | GGA-PBE | optimized geometry

Geometry as POSCAR:
```
U2Ge2Ir3
1.0
5.174 0.000 1.797
0.000 3.072 0.000
0.899 0.000 8.945
U Ge Ir
2 2 3
direct
0.347 0.500 0.734
0.653 0.500 0.266
0.214 0.000 0.202
0.786 0.000 0.798
0.234 0.000 0.503
0.000 0.000 0.000
0.766 0.000 0.497
```

Computed properties:
Calculated volume: 137.2 Å³/cell
E_form: -0.239 eV/atom

no.,total DFT energy (no corrections) (eV/atom),mass density (kg/m³)
1,-3.71,7487
2,-4.65,6961
3,-3.37,4179
4,-9.22,9715
5,-7.54,11839
6,-4.61,9690
7,-5.29,16268
8,-5.52,6845
9,-6.91,7558
10,-4.27,7000
11,-4.30,10444
12,-8.58,14499